Compound: PrSeF
Source: Alexandria via LeMat-Bulk
Functional: PBE
Structure: relaxed

Cell: 4.2152 7.2117 5.4730 Å, 75.50 67.34 89.99°
With the nearest neighbours (Å) after each atom.
Fractional coordinates of all 6 atoms:
Se: 0.3932 0.6782 0.7138  4 Pr 2.97-3.02, 1 F 3.15
Se: 0.6068 0.3218 0.2862  4 Pr 2.97-3.02, 1 F 3.15
F: 0.1686 0.9080 0.1627  3 Pr 2.45-2.47
F: 0.8314 0.0920 0.8373  3 Pr 2.45-2.47
Pr: 0.6977 0.7493 0.1046  3 F 2.45-2.47
Pr: 0.3023 0.2507 0.8954  3 F 2.45-2.47

Results
- uncorrected formation energy (kJ/mol of formula units) = -815
- space group = C2/m

Compound: LaRe2As
Source: Alexandria via LeMat-Bulk
Functional: PBE
Structure: relaxed

Cell: 3.1176 3.1176 7.7762 Å, 90.00 90.00 90.00°
With the nearest neighbours (Å) after each atom.
Fractional coordinates of all 4 atoms:
Re: 0.0000 0.0000 0.0487  4 Re 2.70
Re: 0.5000 0.5000 0.2488  4 As 2.66, 4 Re 2.70
As: 0.0000 0.0000 0.4406  4 Re 2.66
La: 0.5000 0.5000 0.7620  4 La 3.12, 4 Re 3.14, 4 As 3.33

Results
- total energy (eV/atom) = -8.6069
- space group = P4mm